## Sm2ZnIr (GGA-PBE)

Data for a relaxed structure of Sm2ZnIr.

The calculation puts the formation enthalpy at 0 K at -2.029 eV per formula unit. For the total energy, the calculation gives -5.40 eV/atom. The value obtained for the total moment is 0.0 μB/f.u.

The structure belongs to space group P4/mmm (No. 123); the cell edges are 3.583, 3.583 and 7.163 Å and the angles 90.00°, 90.00° and 90.00°. The distinct sites, in fractional coordinates, are Sm at (0.000, 0.000, 0.233), Zn at (0.500, 0.500, 0.500) and Ir at (0.500, 0.500, 0.000).

=====

## Sm2ZnIr (GGA-PBE)

Data for a relaxed structure of Sm2ZnIr.

The calculation puts the formation enthalpy at 0 K at -2.332 eV per formula unit. For the total energy, the calculation gives -5.48 eV/atom. The value obtained for the total moment is 0.0 μB/f.u.

The structure belongs to space group P2_1/m (No. 11); the cell edges are 5.827, 4.445 and 7.881 Å and the angles 90.00°, 111.58° and 90.00°. The distinct sites, in fractional coordinates, are Sm at (0.212, 0.250, 0.437), Sm at (0.232, 0.250, 0.920), Zn at (0.346, 0.750, 0.213) and Ir at (0.357, 0.750, 0.715).

=====

## Sm2Zn3Ir (GGA-PBE)

Data for a relaxed structure of Sm2Zn3Ir.

The calculation puts the formation enthalpy at 0 K at -2.800 eV per formula unit. For the total energy, the calculation gives -4.15 eV/atom. The value obtained for the total moment is 0.0 μB/f.u.

The structure belongs to space group Fmmm (No. 69); the cell edges are 7.367, 8.936 and 15.236 Å and the angles 90.00°, 90.00° and 90.00°. The distinct sites, in fractional coordinates, are Sm at (0.241, 0.000, 0.000), Sm at (0.250, 0.250, 0.250), Zn at (0.000, 0.000, 0.332), Zn at (0.000, 0.248, 0.417) and Ir at (0.000, 0.000, 0.162).